Entry 1:
The following is a DFT calculation (GGA-PBE) of crystalline RbNbF3 at its relaxed geometry.

Calculated values
For the offset from the most stable computed form, the calculation gives 0 meV per atom. Its calculated volume is 161.8 Å³ per cell. Its space group is R-3c. The value obtained for the calculated total energy is -5.5368 eV/atom.

Unit cell a=5.9524 b=5.9524 c=5.9524 alpha=63.85 beta=63.85 gamma=63.85
Element x y z (fractional)
Rb (0.2500, 0.2500, 0.2500)
Rb (0.7500, 0.7500, 0.7500)
Nb (0.0000, 0.0000, 0.0000)
Nb (0.5000, 0.5000, 0.5000)
F (0.1855, 0.7500, 0.3145)
F (0.2500, 0.6855, 0.8145)
F (0.3145, 0.1855, 0.7500)
F (0.6855, 0.8145, 0.2500)
F (0.7500, 0.3145, 0.1855)
F (0.8145, 0.2500, 0.6855)

Entry 2:
The following is a DFT calculation (GGA-PBE) of crystalline Rb3SmCl6 at its relaxed geometry.

Calculated values
Its calculated volume is 712.1 Å³ per cell. Its space group is P2_1/c. The value obtained for the calculated total energy is -4.0025 eV/atom.

Unit cell a=7.7949 b=8.2285 c=13.4472 alpha=90.00 beta=124.35 gamma=90.00
Element x y z (fractional)
Rb (0.0000, 0.0000, 0.0000)
Rb (0.0000, 0.5000, 0.5000)
Rb (0.2168, 0.0684, 0.7429)
Rb (0.2168, 0.4316, 0.2429)
Rb (0.7832, 0.5684, 0.7571)
Rb (0.7832, 0.9316, 0.2571)
Sm (0.5000, 0.0000, 0.5000)
Sm (0.5000, 0.5000, 0.0000)
Cl (0.1667, 0.1802, 0.4455)
Cl (0.1667, 0.3198, 0.9455)
Cl (0.2557, 0.7293, 0.4242)
Cl (0.2557, 0.7707, 0.9242)
Cl (0.3999, 0.0558, 0.2745)
Cl (0.3999, 0.4442, 0.7745)
Cl (0.6001, 0.5558, 0.2255)
Cl (0.6001, 0.9442, 0.7255)
Cl (0.7443, 0.2293, 0.0758)
Cl (0.7443, 0.2707, 0.5758)
Cl (0.8333, 0.6802, 0.0545)
Cl (0.8333, 0.8198, 0.5545)

Entry 3:
The following is a DFT calculation (GGA-PBE) of crystalline NaLuTh at its relaxed geometry.

Calculated values
For the offset from the most stable computed form, the calculation gives 0 meV per atom. Its calculated volume is 404.5 Å³ per cell. Its space group is F-43m. The value obtained for the calculated total energy is -3.3680 eV/atom.

Unit cell a=7.3957 b=7.3957 c=7.3957 alpha=90.00 beta=90.00 gamma=90.00
Element x y z (fractional)
Na (0.0000, 0.0000, 0.0000)
Na (0.0000, 0.5000, 0.5000)
Na (0.5000, 0.0000, 0.5000)
Na (0.5000, 0.5000, 0.0000)
Lu (0.2500, 0.2500, 0.7500)
Lu (0.2500, 0.7500, 0.2500)
Lu (0.7500, 0.2500, 0.2500)
Lu (0.7500, 0.7500, 0.7500)
Th (0.2500, 0.2500, 0.2500)
Th (0.2500, 0.7500, 0.7500)
Th (0.7500, 0.2500, 0.7500)
Th (0.7500, 0.7500, 0.2500)

Entry 4:
The following is a DFT calculation (GGA-PBE) of crystalline BeZnTc2 at its relaxed geometry.

Calculated values
Its calculated volume is 209.1 Å³ per cell. Its space group is F-43m. The value obtained for the calculated total energy is -6.4200 eV/atom.

Unit cell a=5.9357 b=5.9357 c=5.9357 alpha=90.00 beta=90.00 gamma=90.00
Element x y z (fractional)
Be (0.0000, 0.0000, 0.0000)
Be (0.0000, 0.5000, 0.5000)
Be (0.5000, 0.0000, 0.5000)
Be (0.5000, 0.5000, 0.0000)
Zn (0.2500, 0.2500, 0.7500)
Zn (0.2500, 0.7500, 0.2500)
Zn (0.7500, 0.2500, 0.2500)
Zn (0.7500, 0.7500, 0.7500)
Tc (0.0000, 0.0000, 0.5000)
Tc (0.0000, 0.5000, 0.0000)
Tc (0.2500, 0.2500, 0.2500)
Tc (0.2500, 0.7500, 0.7500)
Tc (0.5000, 0.0000, 0.0000)
Tc (0.5000, 0.5000, 0.5000)
Tc (0.7500, 0.2500, 0.7500)
Tc (0.7500, 0.7500, 0.2500)

Entry 5:
The following is a DFT calculation (GGA-PBE) of crystalline BeInTcNi at its relaxed geometry.

Calculated values
For the offset from the most stable computed form, the calculation gives 23 meV per atom. Its calculated volume is 220.8 Å³ per cell. Its space group is F-43m. The value obtained for the calculated total energy is -5.3518 eV/atom.

Unit cell a=6.0441 b=6.0441 c=6.0441 alpha=90.00 beta=90.00 gamma=90.00
Element x y z (fractional)
Be (0.0000, 0.0000, 0.0000)
Be (0.0000, 0.5000, 0.5000)
Be (0.5000, 0.0000, 0.5000)
Be (0.5000, 0.5000, 0.0000)
In (0.0000, 0.0000, 0.5000)
In (0.0000, 0.5000, 0.0000)
In (0.5000, 0.0000, 0.0000)
In (0.5000, 0.5000, 0.5000)
Tc (0.2500, 0.2500, 0.2500)
Tc (0.2500, 0.7500, 0.7500)
Tc (0.7500, 0.2500, 0.7500)
Tc (0.7500, 0.7500, 0.2500)
Ni (0.2500, 0.2500, 0.7500)
Ni (0.2500, 0.7500, 0.2500)
Ni (0.7500, 0.2500, 0.2500)
Ni (0.7500, 0.7500, 0.7500)

Entry 6:
The following is a DFT calculation (GGA-PBE) of crystalline RbOs at its relaxed geometry.

Calculated values
For the offset from the most stable computed form, the calculation gives 259 meV per atom. Its calculated volume is 85.4 Å³ per cell. Its space group is P6_3/mmc. The value obtained for the calculated total energy is -4.3736 eV/atom.

Unit cell a=2.8738 b=2.8738 c=11.9394 alpha=90.00 beta=90.00 gamma=120.00
Element x y z (fractional)
Rb (0.0000, 0.0000, 0.0000)
Rb (0.0000, 0.0000, 0.5000)
Os (0.3333, 0.6667, 0.2500)
Os (0.6667, 0.3333, 0.7500)

Which value of calculated volume does entry 2 give?
712.1 Å³ per cell

The highest calculated total energy belongs to which entry?
NaLuTh

Number 4 is which compound?
BeZnTc2